No. 1
First-principles (PBE-GGA) data for a relaxed structure of Co3WI, as listed in Alexandria.

The structure belongs to space group Pm-3m (No. 221); the cell edges are 4.546, 4.546 and 4.546 Å and the angles 90.00°, 90.00° and 90.00°. Symmetry generates all atoms from Co at (0.000, 0.000, 0.500), W at (0.000, 0.000, 0.000) and I at (0.500, 0.500, 0.500).

Its energy above the most stable polymorph in this dataset is 0.000 eV per atom. The formation energy (no corrections) is 1.573 eV/atom.

***

No. 2
First-principles (PBE-GGA) data for a relaxed structure of Co2WI2, as listed in Alexandria.

The structure belongs to space group I4/mmm (No. 139); the cell edges are 3.296, 3.296 and 18.602 Å and the angles 90.00°, 90.00° and 90.00°. Symmetry generates all atoms from Co at (0.000, 0.500, 0.250), W at (0.000, 0.000, 0.000) and I at (0.000, 0.000, 0.405).

Its energy above the most stable polymorph in this dataset is 0.000 eV per atom. The formation energy (no corrections) is 1.168 eV/atom.

***

No. 3
First-principles (PBE-GGA) data for a relaxed structure of CoWI2, as listed in Alexandria.

The structure belongs to space group I-42d (No. 122); the cell edges are 5.933, 5.933 and 11.598 Å and the angles 90.00°, 90.00° and 90.00°. Symmetry generates all atoms from Co at (0.000, 0.000, 0.000), W at (0.000, 0.000, 0.500) and I at (0.227, 0.250, 0.125).

Its energy above the most stable polymorph in this dataset is 0.000 eV per atom. The formation energy (no corrections) is 1.245 eV/atom.

***

No. 4
First-principles (PBE-GGA) data for a relaxed structure of Co2WI2, as listed in Alexandria.

The structure belongs to space group P4/mbm (No. 127); the cell edges are 7.273, 7.273 and 3.268 Å and the angles 90.00°, 90.00° and 90.00°. Symmetry generates all atoms from Co at (0.142, 0.358, 0.000), W at (0.000, 0.000, 0.500) and I at (0.164, 0.664, 0.500).

Its energy above the most stable polymorph in this dataset is 0.118 eV per atom. The formation energy (no corrections) is 1.286 eV/atom.

***

No. 5
First-principles (PBE-GGA) data for a relaxed structure of ZnCoWI2, as listed in Alexandria.

The structure belongs to space group P4/mmm (No. 123); the cell edges are 5.269, 5.269 and 4.655 Å and the angles 90.00°, 90.00° and 90.00°. Symmetry generates all atoms from Zn at (0.000, 0.000, 0.000), Co at (0.500, 0.500, 0.500), W at (0.500, 0.500, 0.000) and I at (0.000, 0.500, 0.500).

The formation energy (no corrections) is 1.207 eV/atom.

***

No. 6
First-principles (PBE-GGA) data for a relaxed structure of Y2Co2I, as listed in Alexandria.

The structure belongs to space group P6_3/mmc (No. 194); the cell edges are 3.9557, 3.9557 and 16.9925 Å and the angles 90.00°, 90.00° and 120.00°. Symmetry generates all atoms from Y at (0.0000, 0.0000, 0.1035), Co at (0.3333, 0.6667, 0.0019) and I at (0.3333, 0.6667, 0.7500).

The formation energy (no corrections) is -0.585 eV/atom.

***

No. 7
First-principles (PBE-GGA) data for a relaxed structure of Y4CoI5, as listed in Alexandria.

The structure belongs to space group C2/m (No. 12); the cell edges are 22.039, 4.080 and 8.875 Å and the angles 90.00°, 90.56° and 90.00°. Symmetry generates all atoms from Y at (0.000, 0.000, 0.203), Y at (0.115, 0.500, 0.003), Co at (0.000, 0.500, 0.000), I at (0.000, 0.500, 0.500), I at (0.150, 0.000, 0.254) and I at (0.150, 0.000, 0.753).

Its energy above the most stable polymorph in this dataset is 0.019 eV per atom. The formation energy (no corrections) is -1.016 eV/atom.

***

No. 8
First-principles (PBE-GGA) data for a relaxed structure of Y2Co2I, as listed in Alexandria.

The structure belongs to space group P4/mbm (No. 127); the cell edges are 8.130, 8.130 and 3.676 Å and the angles 90.00°, 90.00° and 90.00°. Symmetry generates all atoms from Y at (0.168, 0.332, 0.000), Co at (0.095, 0.595, 0.500) and I at (0.000, 0.000, 0.000).

The formation energy (no corrections) is -0.015 eV/atom.

***

No. 9
First-principles (PBE-GGA) data for a relaxed structure of YCo3I, as listed in Alexandria.

The structure belongs to space group Pm-3m (No. 221); the cell edges are 4.602, 4.602 and 4.602 Å and the angles 90.00°, 90.00° and 90.00°. Symmetry generates all atoms from Y at (0.000, 0.000, 0.000), Co at (0.000, 0.500, 0.500) and I at (0.500, 0.500, 0.500).

Its energy above the most stable polymorph in this dataset is 0.000 eV per atom. The formation energy (no corrections) is 0.822 eV/atom.

***

No. 10
First-principles (PBE-GGA) data for a relaxed structure of Y3CoI, as listed in Alexandria.

The structure belongs to space group Pm-3m (No. 221); the cell edges are 5.282, 5.282 and 5.282 Å and the angles 90.00°, 90.00° and 90.00°. Symmetry generates all atoms from Y at (0.000, 0.000, 0.500), Co at (0.000, 0.000, 0.000) and I at (0.500, 0.500, 0.500).

Its energy above the most stable polymorph in this dataset is 0.150 eV per atom. The formation energy (no corrections) is -0.194 eV/atom.

***

No. 11
First-principles (PBE-GGA) data for a relaxed structure of Y2Co2I, as listed in Alexandria.

The structure belongs to space group I4/mmm (No. 139); the cell edges are 3.648, 3.648 and 17.254 Å and the angles 90.00°, 90.00° and 90.00°. Symmetry generates all atoms from Y at (0.000, 0.000, 0.133), Co at (0.000, 0.500, 0.250) and I at (0.000, 0.000, 0.500).

The formation energy (no corrections) is -0.164 eV/atom.

***

No. 12
First-principles (PBE-GGA) data for a relaxed structure of Y2CoI, as listed in Alexandria.

The structure belongs to space group Fm-3m (No. 225); the cell edges are 7.280, 7.280 and 7.280 Å and the angles 90.00°, 90.00° and 90.00°. Symmetry generates all atoms from Y at (0.250, 0.250, 0.250), Co at (0.000, 0.000, 0.000) and I at (0.000, 0.000, 0.500).

Its energy above the most stable polymorph in this dataset is 0.590 eV per atom. The formation energy (no corrections) is 0.034 eV/atom.

***

No. 13
First-principles (PBE-GGA) data for a relaxed structure of Y4CoI5, as listed in Alexandria.

The structure belongs to space group C2/m (No. 12); the cell edges are 19.474, 4.071 and 8.854 Å and the angles 90.00°, 102.64° and 90.00°. Symmetry generates all atoms from Y at (0.000, 0.000, 0.197), Y at (0.139, 0.500, 0.072), Co at (0.000, 0.500, 0.000), I at (0.000, 0.500, 0.500), I at (0.167, 0.000, 0.344) and I at (0.176, 0.000, 0.830).

Its energy above the most stable polymorph in this dataset is 0.000 eV per atom. The formation energy (no corrections) is -1.035 eV/atom.

***

No. 14
First-principles (PBE-GGA) data for a relaxed structure of Y3CoI, as listed in Alexandria.

The structure belongs to space group Pmmn (No. 59, origin choice 2); the cell edges are 3.970, 7.103 and 9.856 Å and the angles 90.00°, 90.00° and 90.00°. Symmetry generates all atoms from Y at (0.250, 0.006, 0.142), Y at (0.250, 0.750, 0.616), Co at (0.250, 0.750, 0.899) and I at (0.250, 0.250, 0.645).

Its energy above the most stable polymorph in this dataset is 0.000 eV per atom. The formation energy (no corrections) is -0.344 eV/atom.

***

No. 15
First-principles (PBE-GGA) data for a relaxed structure of YCoI3, as listed in Alexandria.

The structure belongs to space group Pm-3m (No. 221); the cell edges are 5.209, 5.209 and 5.209 Å and the angles 90.00°, 90.00° and 90.00°. Symmetry generates all atoms from Y at (0.000, 0.000, 0.000), Co at (0.500, 0.500, 0.500) and I at (0.000, 0.500, 0.500).

Its energy above the most stable polymorph in this dataset is 0.000 eV per atom. The formation energy (no corrections) is -0.050 eV/atom.

***

No. 16
First-principles (PBE-GGA) data for a relaxed structure of YCo2I, as listed in Alexandria.

The structure belongs to space group I-42d (No. 122); the cell edges are 4.597, 4.597 and 16.230 Å and the angles 90.00°, 90.00° and 90.00°. Symmetry generates all atoms from Y at (0.000, 0.000, 0.000), Co at (0.079, 0.250, 0.625) and I at (0.000, 0.000, 0.500).

Its energy above the most stable polymorph in this dataset is 0.000 eV per atom. The formation energy (no corrections) is 0.420 eV/atom.

***

No. 17
First-principles (PBE-GGA) data for a relaxed structure of YCo3I, as listed in Alexandria.

The structure belongs to space group Pm-3m (No. 221); the cell edges are 4.888, 4.888 and 4.888 Å and the angles 90.00°, 90.00° and 90.00°. Symmetry generates all atoms from Y at (0.000, 0.000, 0.000), Co at (0.000, 0.000, 0.500) and I at (0.500, 0.500, 0.500).

Its energy above the most stable polymorph in this dataset is 0.813 eV per atom. The formation energy (no corrections) is 1.635 eV/atom.

***

No. 18
First-principles (PBE-GGA) data for a relaxed structure of Y2CoI, as listed in Alexandria.

The structure belongs to space group R-3m (No. 166, hexagonal axes); the cell edges are 3.9624, 3.9624 and 23.6434 Å and the angles 90.00°, 90.00° and 120.00°. Symmetry generates all atoms from Y at (0.0000, 0.0000, 0.2265), Co at (0.0000, 0.0000, 0.5000) and I at (0.0000, 0.0000, 0.0000).

Its energy above the most stable polymorph in this dataset is 0.000 eV per atom. The formation energy (no corrections) is -0.557 eV/atom.

***

No. 19
First-principles (PBE-GGA) data for a relaxed structure of Y4Co2I5, as listed in Alexandria.

The structure belongs to space group Immm (No. 71); the cell edges are 4.110, 8.609 and 20.363 Å and the angles 90.00°, 90.00° and 90.00°. Symmetry generates all atoms from Y at (0.000, 0.000, 0.168), Y at (0.000, 0.303, 0.500), Co at (0.000, 0.000, 0.052), I at (0.000, 0.228, 0.335) and I at (0.000, 0.500, 0.000).

The formation energy (no corrections) is -0.687 eV/atom.

***

No. 20
First-principles (PBE-GGA) data for a relaxed structure of Y2CoI, as listed in Alexandria.

The structure belongs to space group I-42d (No. 122); the cell edges are 7.565, 7.565 and 7.761 Å and the angles 90.00°, 90.00° and 90.00°. Symmetry generates all atoms from Y at (0.185, 0.250, 0.125), Co at (0.000, 0.000, 0.000) and I at (0.000, 0.000, 0.500).

Its energy above the most stable polymorph in this dataset is 0.479 eV per atom. The formation energy (no corrections) is -0.077 eV/atom.

***

No. 21
First-principles (PBE-GGA) data for a relaxed structure of YCo2I, as listed in Alexandria.

The structure belongs to space group Fm-3m (No. 225); the cell edges are 6.640, 6.640 and 6.640 Å and the angles 90.00°, 90.00° and 90.00°. Symmetry generates all atoms from Y at (0.000, 0.000, 0.000), Co at (0.250, 0.250, 0.250) and I at (0.000, 0.000, 0.500).

Its energy above the most stable polymorph in this dataset is 0.003 eV per atom. The formation energy (no corrections) is 0.423 eV/atom.

***

No. 22
First-principles (PBE-GGA) data for a relaxed structure of YCoI3, as listed in Alexandria.

The structure belongs to space group Pm-3m (No. 221); the cell edges are 6.016, 6.016 and 6.016 Å and the angles 90.00°, 90.00° and 90.00°. Symmetry generates all atoms from Y at (0.000, 0.000, 0.000), Co at (0.500, 0.500, 0.500) and I at (0.000, 0.000, 0.500).

Its energy above the most stable polymorph in this dataset is 0.034 eV per atom. The formation energy (no corrections) is -0.016 eV/atom.

***

No. 23
First-principles (PBE-GGA) data for a relaxed structure of ZnCoI4, as listed in Alexandria.

The structure belongs to space group I4_1/a (No. 88, origin choice 2); the cell edges are 5.936, 5.936 and 27.608 Å and the angles 90.00°, 90.00° and 90.00°. Symmetry generates all atoms from Zn at (0.000, 0.250, 0.125), Co at (0.000, 0.250, 0.625) and I at (0.244, 0.005, 0.568).

The formation energy (no corrections) is -0.289 eV/atom.

***

No. 24
First-principles (PBE-GGA) data for a relaxed structure of ZnCoI2, as listed in Alexandria.

The structure belongs to space group I-42d (No. 122); the cell edges are 6.340, 6.340 and 11.790 Å and the angles 90.00°, 90.00° and 90.00°. Symmetry generates all atoms from Zn at (0.000, 0.000, 0.000), Co at (0.000, 0.000, 0.500) and I at (0.205, 0.250, 0.625).

Its energy above the most stable polymorph in this dataset is 0.000 eV per atom. The formation energy (no corrections) is 0.244 eV/atom.

***

No. 25
First-principles (PBE-GGA) data for a relaxed structure of Zn2CoI6, as listed in Alexandria.

The structure belongs to space group C2/m (No. 12); the cell edges are 18.918, 4.067 and 8.796 Å and the angles 90.00°, 108.94° and 90.00°. Symmetry generates all atoms from Zn at (0.167, 0.000, 0.334), Co at (0.000, 0.500, 0.000), I at (0.007, 0.000, 0.222), I at (0.157, 0.500, 0.100) and I at (0.173, 0.500, 0.567).

The formation energy (no corrections) is -0.292 eV/atom.

***

No. 26
First-principles (PBE-GGA) data for a relaxed structure of ZnCoI3, as listed in Alexandria.

The structure belongs to space group Pm-3m (No. 221); the cell edges are 5.359, 5.359 and 5.359 Å and the angles 90.00°, 90.00° and 90.00°. Symmetry generates all atoms from Zn at (0.000, 0.000, 0.000), Co at (0.500, 0.500, 0.500) and I at (0.000, 0.500, 0.500).

Its energy above the most stable polymorph in this dataset is 0.000 eV per atom. The formation energy (no corrections) is 0.325 eV/atom.